No. 1
First-principles (PBE-GGA) data for a geometry-optimized AcZnH6Ir2 structure, as listed in Alexandria.

Properties
For the total energy, the calculation gives -4.575 eV/atom. The calculation puts the calculated volume at 223.0 Å³ per cell.

Geometry as CIF:
```
data_AcZnH6Ir2
_chemical_formula_sum 'Ac2 Zn2 H12 Ir4'
_symmetry_space_group_name_H-M 'P 1'
_symmetry_Int_Tables_number 1
_cell_length_a 6.530
_cell_length_b 6.530
_cell_length_c 5.798
_cell_angle_alpha 102.61
_cell_angle_beta 102.61
_cell_angle_gamma 104.97
loop_
_symmetry_equiv_pos_as_xyz
'x,y,z'
loop_
_atom_site_label
_atom_site_type_symbol
_atom_site_fract_x
_atom_site_fract_y
_atom_site_fract_z
_atom_site_occupancy
Ac1 Ac 0.151 0.849 0.750 1
Ac2 Ac 0.849 0.151 0.250 1
Zn1 Zn 0.319 0.681 0.250 1
Zn2 Zn 0.681 0.319 0.750 1
H1 H 0.008 0.444 0.641 1
H2 H 0.210 0.219 0.111 1
H3 H 0.219 0.210 0.611 1
H4 H 0.340 0.533 0.943 1
H5 H 0.444 0.008 0.141 1
H6 H 0.467 0.660 0.557 1
H7 H 0.533 0.340 0.443 1
H8 H 0.556 0.992 0.859 1
H9 H 0.660 0.467 0.057 1
H10 H 0.781 0.790 0.389 1
H11 H 0.790 0.781 0.889 1
H12 H 0.992 0.556 0.359 1
Ir1 Ir 0.096 0.330 0.854 1
Ir2 Ir 0.330 0.096 0.354 1
Ir3 Ir 0.670 0.904 0.646 1
Ir4 Ir 0.904 0.670 0.146 1
```



No. 2
First-principles (PBE-GGA) data for a geometry-optimized KAc2H structure, as listed in Alexandria.

Properties
For the total energy, the calculation gives -3.158 eV/atom. The calculation puts the calculated volume at 154.4 Å³ per cell.

Geometry as CIF:
```
data_KAc2H
_chemical_formula_sum 'K1 Ac2 H1'
_symmetry_space_group_name_H-M 'P 1'
_symmetry_Int_Tables_number 1
_cell_length_a 11.401
_cell_length_b 11.401
_cell_length_c 11.401
_cell_angle_alpha 20.18
_cell_angle_beta 20.18
_cell_angle_gamma 20.18
loop_
_symmetry_equiv_pos_as_xyz
'x,y,z'
loop_
_atom_site_label
_atom_site_type_symbol
_atom_site_fract_x
_atom_site_fract_y
_atom_site_fract_z
_atom_site_occupancy
K1 K 0.000 0.000 0.000 1
Ac1 Ac 0.121 0.121 0.121 1
Ac2 Ac 0.879 0.879 0.879 1
H1 H 0.500 0.500 0.500 1
```



No. 3
First-principles (PBE-GGA) data for a geometry-optimized KAcH8Pd2 structure, as listed in Alexandria.

Properties
For the total energy, the calculation gives -3.555 eV/atom. The calculation puts the calculated volume at 155.5 Å³ per cell.

Geometry as CIF:
```
data_KAcH8Pd2
_chemical_formula_sum 'K1 Ac1 H8 Pd2'
_symmetry_space_group_name_H-M 'P 1'
_symmetry_Int_Tables_number 1
_cell_length_a 9.257
_cell_length_b 9.257
_cell_length_c 9.257
_cell_angle_alpha 28.10
_cell_angle_beta 28.10
_cell_angle_gamma 28.10
loop_
_symmetry_equiv_pos_as_xyz
'x,y,z'
loop_
_atom_site_label
_atom_site_type_symbol
_atom_site_fract_x
_atom_site_fract_y
_atom_site_fract_z
_atom_site_occupancy
K1 K 0.000 0.000 0.000 1
Ac1 Ac 0.500 0.500 0.500 1
H1 H 0.128 0.537 0.537 1
H2 H 0.172 0.172 0.172 1
H3 H 0.463 0.463 0.872 1
H4 H 0.463 0.872 0.463 1
H5 H 0.537 0.128 0.537 1
H6 H 0.537 0.537 0.128 1
H7 H 0.828 0.828 0.828 1
H8 H 0.872 0.463 0.463 1
Pd1 Pd 0.241 0.241 0.241 1
Pd2 Pd 0.759 0.759 0.759 1
```



No. 4
First-principles (PBE-GGA) data for a geometry-optimized KAcH6Pd2 structure, as listed in Alexandria.

Properties
For the total energy, the calculation gives -3.948 eV/atom. The calculation puts the calculated volume at 267.2 Å³ per cell.

Geometry as CIF:
```
data_KAcH6Pd2
_chemical_formula_sum 'K2 Ac2 H12 Pd4'
_symmetry_space_group_name_H-M 'P 1'
_symmetry_Int_Tables_number 1
_cell_length_a 6.637
_cell_length_b 6.637
_cell_length_c 7.008
_cell_angle_alpha 107.75
_cell_angle_beta 107.75
_cell_angle_gamma 100.26
loop_
_symmetry_equiv_pos_as_xyz
'x,y,z'
loop_
_atom_site_label
_atom_site_type_symbol
_atom_site_fract_x
_atom_site_fract_y
_atom_site_fract_z
_atom_site_occupancy
K1 K 0.005 0.995 0.750 1
K2 K 0.995 0.005 0.250 1
Ac1 Ac 0.368 0.632 0.250 1
Ac2 Ac 0.632 0.368 0.750 1
H1 H 0.042 0.657 0.937 1
H2 H 0.115 0.422 0.459 1
H3 H 0.297 0.412 0.846 1
H4 H 0.343 0.958 0.563 1
H5 H 0.412 0.297 0.346 1
H6 H 0.422 0.115 0.959 1
H7 H 0.578 0.885 0.041 1
H8 H 0.588 0.703 0.654 1
H9 H 0.657 0.042 0.437 1
H10 H 0.703 0.588 0.154 1
H11 H 0.885 0.578 0.541 1
H12 H 0.958 0.343 0.063 1
Pd1 Pd 0.102 0.519 0.716 1
Pd2 Pd 0.481 0.898 0.784 1
Pd3 Pd 0.519 0.102 0.216 1
Pd4 Pd 0.898 0.481 0.284 1
```



No. 5
First-principles (PBE-GGA) data for a geometry-optimized KAcH8Pt2 structure, as listed in Alexandria.

Properties
For the total energy, the calculation gives -3.802 eV/atom. The calculation puts the calculated volume at 161.8 Å³ per cell.

Geometry as CIF:
```
data_KAcH8Pt2
_chemical_formula_sum 'K1 Ac1 H8 Pt2'
_symmetry_space_group_name_H-M 'P 1'
_symmetry_Int_Tables_number 1
_cell_length_a 9.690
_cell_length_b 9.690
_cell_length_c 9.690
_cell_angle_alpha 26.69
_cell_angle_beta 26.69
_cell_angle_gamma 26.69
loop_
_symmetry_equiv_pos_as_xyz
'x,y,z'
loop_
_atom_site_label
_atom_site_type_symbol
_atom_site_fract_x
_atom_site_fract_y
_atom_site_fract_z
_atom_site_occupancy
K1 K 0.000 0.000 0.000 1
Ac1 Ac 0.500 0.500 0.500 1
H1 H 0.080 0.550 0.550 1
H2 H 0.179 0.179 0.179 1
H3 H 0.450 0.450 0.920 1
H4 H 0.450 0.920 0.450 1
H5 H 0.550 0.080 0.550 1
H6 H 0.550 0.550 0.080 1
H7 H 0.821 0.821 0.821 1
H8 H 0.920 0.450 0.450 1
Pt1 Pt 0.241 0.241 0.241 1
Pt2 Pt 0.759 0.759 0.759 1
```



No. 6
First-principles (PBE-GGA) data for a geometry-optimized KAcZn2H8 structure, as listed in Alexandria.

Properties
For the total energy, the calculation gives -3.105 eV/atom. The calculation puts the calculated volume at 175.5 Å³ per cell.

Geometry as CIF:
```
data_KAcZn2H8
_chemical_formula_sum 'K1 Ac1 Zn2 H8'
_symmetry_space_group_name_H-M 'P 1'
_symmetry_Int_Tables_number 1
_cell_length_a 4.894
_cell_length_b 4.894
_cell_length_c 8.459
_cell_angle_alpha 90.00
_cell_angle_beta 90.00
_cell_angle_gamma 120.00
loop_
_symmetry_equiv_pos_as_xyz
'x,y,z'
loop_
_atom_site_label
_atom_site_type_symbol
_atom_site_fract_x
_atom_site_fract_y
_atom_site_fract_z
_atom_site_occupancy
K1 K 0.000 0.000 0.000 1
Ac1 Ac 0.000 0.000 0.500 1
Zn1 Zn 0.333 0.667 0.292 1
Zn2 Zn 0.667 0.333 0.708 1
H1 H 0.041 0.318 0.251 1
H2 H 0.277 0.959 0.251 1
H3 H 0.318 0.277 0.749 1
H4 H 0.333 0.667 0.494 1
H5 H 0.667 0.333 0.506 1
H6 H 0.682 0.723 0.251 1
H7 H 0.723 0.041 0.749 1
H8 H 0.959 0.682 0.749 1
```



No. 7
First-principles (PBE-GGA) data for a geometry-optimized Ac2La4H structure, as listed in Alexandria.

Properties
For the total energy, the calculation gives -4.429 eV/atom. The calculation puts the calculated volume at 246.7 Å³ per cell.

Geometry as CIF:
```
data_Ac2La4H
_chemical_formula_sum 'Ac2 La4 H1'
_symmetry_space_group_name_H-M 'P 1'
_symmetry_Int_Tables_number 1
_cell_length_a 9.831
_cell_length_b 9.831
_cell_length_c 9.831
_cell_angle_alpha 149.31
_cell_angle_beta 149.31
_cell_angle_gamma 43.95
loop_
_symmetry_equiv_pos_as_xyz
'x,y,z'
loop_
_atom_site_label
_atom_site_type_symbol
_atom_site_fract_x
_atom_site_fract_y
_atom_site_fract_z
_atom_site_occupancy
Ac1 Ac 0.150 0.150 0.000 1
Ac2 Ac 0.850 0.850 0.000 1
La1 La 0.000 0.500 0.500 1
La2 La 0.353 0.353 0.000 1
La3 La 0.500 0.000 0.500 1
La4 La 0.647 0.647 0.000 1
H1 H 0.500 0.500 0.000 1
```



No. 8
First-principles (PBE-GGA) data for a geometry-optimized AcLa4H10 structure, as listed in Alexandria.

Properties
For the total energy, the calculation gives -4.460 eV/atom. The calculation puts the calculated volume at 229.3 Å³ per cell.

Geometry as CIF:
```
data_AcLa4H10
_chemical_formula_sum 'Ac1 La4 H10'
_symmetry_space_group_name_H-M 'P 1'
_symmetry_Int_Tables_number 1
_cell_length_a 16.565
_cell_length_b 16.565
_cell_length_c 16.565
_cell_angle_alpha 13.93
_cell_angle_beta 13.93
_cell_angle_gamma 13.93
loop_
_symmetry_equiv_pos_as_xyz
'x,y,z'
loop_
_atom_site_label
_atom_site_type_symbol
_atom_site_fract_x
_atom_site_fract_y
_atom_site_fract_z
_atom_site_occupancy
Ac1 Ac 0.000 0.000 0.000 1
La1 La 0.200 0.200 0.200 1
La2 La 0.401 0.401 0.401 1
La3 La 0.599 0.599 0.599 1
La4 La 0.800 0.800 0.800 1
H1 H 0.052 0.052 0.052 1
H2 H 0.150 0.150 0.150 1
H3 H 0.249 0.249 0.249 1
H4 H 0.352 0.352 0.352 1
H5 H 0.451 0.451 0.451 1
H6 H 0.549 0.549 0.549 1
H7 H 0.648 0.648 0.648 1
H8 H 0.751 0.751 0.751 1
H9 H 0.850 0.850 0.850 1
H10 H 0.948 0.948 0.948 1
```



No. 9
First-principles (PBE-GGA) data for a geometry-optimized AcLa2H structure, as listed in Alexandria.

Properties
For the total energy, the calculation gives -4.502 eV/atom. The distance to the lowest polymorph of the same formula comes out at 0.000 eV per atom. The calculation puts the calculated volume at 119.4 Å³ per cell.

Geometry as CIF:
```
data_AcLa2H
_chemical_formula_sum 'Ac1 La2 H1'
_symmetry_space_group_name_H-M 'P 1'
_symmetry_Int_Tables_number 1
_cell_length_a 9.411
_cell_length_b 9.411
_cell_length_c 9.411
_cell_angle_alpha 23.82
_cell_angle_beta 23.82
_cell_angle_gamma 23.82
loop_
_symmetry_equiv_pos_as_xyz
'x,y,z'
loop_
_atom_site_label
_atom_site_type_symbol
_atom_site_fract_x
_atom_site_fract_y
_atom_site_fract_z
_atom_site_occupancy
Ac1 Ac 0.000 0.000 0.000 1
La1 La 0.220 0.220 0.220 1
La2 La 0.780 0.780 0.780 1
H1 H 0.500 0.500 0.500 1
```



No. 10
First-principles (PBE-GGA) data for a geometry-optimized AcLaH structure, as listed in Alexandria.

Properties
For the total energy, the calculation gives -4.326 eV/atom. The distance to the lowest polymorph of the same formula comes out at 0.000 eV per atom. The calculation puts the calculated volume at 683.1 Å³ per cell.

Geometry as CIF:
```
data_AcLaH
_chemical_formula_sum 'Ac8 La8 H8'
_symmetry_space_group_name_H-M 'P 1'
_symmetry_Int_Tables_number 1
_cell_length_a 3.742
_cell_length_b 3.742
_cell_length_c 48.786
_cell_angle_alpha 90.00
_cell_angle_beta 90.00
_cell_angle_gamma 90.00
loop_
_symmetry_equiv_pos_as_xyz
'x,y,z'
loop_
_atom_site_label
_atom_site_type_symbol
_atom_site_fract_x
_atom_site_fract_y
_atom_site_fract_z
_atom_site_occupancy
Ac1 Ac 0.239 0.258 0.212 1
Ac2 Ac 0.239 0.742 0.288 1
Ac3 Ac 0.258 0.239 0.538 1
Ac4 Ac 0.258 0.761 0.962 1
Ac5 Ac 0.742 0.239 0.462 1
Ac6 Ac 0.742 0.761 0.038 1
Ac7 Ac 0.761 0.258 0.788 1
Ac8 Ac 0.761 0.742 0.712 1
La1 La 0.240 0.262 0.095 1
La2 La 0.240 0.738 0.405 1
La3 La 0.262 0.240 0.655 1
La4 La 0.262 0.760 0.845 1
La5 La 0.738 0.240 0.345 1
La6 La 0.738 0.760 0.155 1
La7 La 0.760 0.262 0.905 1
La8 La 0.760 0.738 0.595 1
H1 H 0.241 0.261 0.046 1
H2 H 0.241 0.739 0.454 1
H3 H 0.261 0.241 0.704 1
H4 H 0.261 0.759 0.796 1
H5 H 0.739 0.241 0.296 1
H6 H 0.739 0.759 0.204 1
H7 H 0.759 0.261 0.954 1
H8 H 0.759 0.739 0.546 1
```



No. 11
First-principles (PBE-GGA) data for a geometry-optimized AcLa2H structure, as listed in Alexandria.

Properties
For the total energy, the calculation gives -4.153 eV/atom. The distance to the lowest polymorph of the same formula comes out at 0.349 eV per atom. The calculation puts the calculated volume at 129.4 Å³ per cell.

Geometry as CIF:
```
data_AcLa2H
_chemical_formula_sum 'Ac1 La2 H1'
_symmetry_space_group_name_H-M 'P 1'
_symmetry_Int_Tables_number 1
_cell_length_a 5.782
_cell_length_b 5.782
_cell_length_c 4.468
_cell_angle_alpha 90.00
_cell_angle_beta 90.00
_cell_angle_gamma 120.00
loop_
_symmetry_equiv_pos_as_xyz
'x,y,z'
loop_
_atom_site_label
_atom_site_type_symbol
_atom_site_fract_x
_atom_site_fract_y
_atom_site_fract_z
_atom_site_occupancy
Ac1 Ac 0.000 0.000 0.000 1
La1 La 0.333 0.667 0.500 1
La2 La 0.667 0.333 0.500 1
H1 H 0.000 0.000 0.500 1
```



No. 12
First-principles (PBE-GGA) data for a geometry-optimized Ac2LaH structure, as listed in Alexandria.

Properties
For the total energy, the calculation gives -4.086 eV/atom. The distance to the lowest polymorph of the same formula comes out at 0.157 eV per atom. The calculation puts the calculated volume at 132.1 Å³ per cell.

Geometry as CIF:
```
data_Ac2LaH
_chemical_formula_sum 'Ac2 La1 H1'
_symmetry_space_group_name_H-M 'P 1'
_symmetry_Int_Tables_number 1
_cell_length_a 10.567
_cell_length_b 10.567
_cell_length_c 10.567
_cell_angle_alpha 20.95
_cell_angle_beta 20.95
_cell_angle_gamma 20.95
loop_
_symmetry_equiv_pos_as_xyz
'x,y,z'
loop_
_atom_site_label
_atom_site_type_symbol
_atom_site_fract_x
_atom_site_fract_y
_atom_site_fract_z
_atom_site_occupancy
Ac1 Ac 0.117 0.117 0.117 1
Ac2 Ac 0.883 0.883 0.883 1
La1 La 0.000 0.000 0.000 1
H1 H 0.500 0.500 0.500 1
```